1.
BeIrRu2 | Alexandria via LeMat-Bulk | GGA-PBE | relaxed; E = -7.887 eV/atom; total magnetization = 0.000 μB/atom; crystal system = orthorhombic; calculated formation energy = -0.102 eV/atom
1.0
-1.402 2.132 4.210
1.402 -2.132 4.210
1.402 2.132 -4.210
Be Ir Ru
1 1 2
Cartesian
0.000 0.000 0.000
0.000 0.000 4.210
1.402 0.000 1.843
0.000 2.132 2.367



2.
Be3Ir2Ru | Alexandria via LeMat-Bulk | GGA-PBE | relaxed; E = -6.800 eV/atom; total magnetization = 0.000 μB/atom; crystal system = tetragonal; calculated formation energy = -0.437 eV/atom
1.0
2.797 0.000 0.000
0.000 2.797 0.000
0.000 0.000 8.433
Be Ir Ru
3 2 1
Cartesian
0.000 0.000 0.000
0.000 0.000 2.767
0.000 0.000 5.666
1.398 1.398 1.419
1.398 1.398 7.015
1.398 1.398 4.217



3.
BeIrRu2 | Alexandria via LeMat-Bulk | GGA-PBE | relaxed; E = -7.641 eV/atom; total magnetization = 0.000 μB/atom; crystal system = tetragonal; calculated formation energy = 0.143 eV/atom
1.0
3.698 0.000 0.000
0.000 3.698 0.000
0.000 0.000 3.855
Be Ir Ru
1 1 2
Cartesian
0.000 0.000 0.000
1.849 1.849 0.000
0.000 1.849 1.928
1.849 0.000 1.928



4.
BeIrRu2 | Alexandria via LeMat-Bulk | GGA-PBE | relaxed; E = -7.589 eV/atom; total magnetization = 0.282 μB/atom; crystal system = orthorhombic; calculated formation energy = 0.196 eV/atom
1.0
1.383 -2.297 0.000
1.383 2.297 0.000
0.000 0.000 8.343
Be Ir Ru
1 1 2
Cartesian
0.000 0.000 0.000
1.383 0.000 6.505
0.000 0.000 4.139
1.383 0.000 1.896



5.
Be2Ir2Ru | Alexandria via LeMat-Bulk | GGA-PBE | relaxed; E = -6.907 eV/atom; total magnetization = 0.001 μB/atom; crystal system = tetragonal; calculated formation energy = -0.017 eV/atom
1.0
6.766 0.000 0.000
0.000 6.766 0.000
0.000 0.000 2.716
Be Ir Ru
4 4 2
Cartesian
1.098 2.285 0.000
2.285 5.669 0.000
4.481 1.098 0.000
5.669 4.481 0.000
0.921 4.305 1.358
2.462 0.921 1.358
4.305 5.845 1.358
5.845 2.462 1.358
0.000 0.000 1.358
3.383 3.383 1.358



6.
BeIrRu2 | Alexandria via LeMat-Bulk | GGA-PBE | relaxed; E = -7.977 eV/atom; total magnetization = 0.000 μB/atom; crystal system = tetragonal; calculated formation energy = -0.193 eV/atom
1.0
2.766 0.000 0.000
0.000 2.766 0.000
0.000 0.000 6.543
Be Ir Ru
1 1 2
Cartesian
0.000 0.000 0.000
1.383 1.383 1.356
0.000 0.000 3.278
1.383 1.383 5.064



7.
BeIrRu2 | Alexandria via LeMat-Bulk | GGA-PBE | relaxed; E = -7.760 eV/atom; total magnetization = 0.000 μB/atom; crystal system = tetragonal; calculated formation energy = 0.024 eV/atom
1.0
-1.843 1.843 3.859
1.843 -1.843 3.859
1.843 1.843 -3.859
Be Ir Ru
1 1 2
Cartesian
0.000 0.000 0.000
1.843 0.000 1.930
0.000 0.000 3.859
0.000 1.843 1.930



8.
BeIrRu2 | Alexandria via LeMat-Bulk | GGA-PBE | relaxed; E = -7.596 eV/atom; total magnetization = 0.296 μB/atom; crystal system = cubic; calculated formation energy = 0.188 eV/atom
1.0
0.000 2.982 2.982
2.982 0.000 2.982
2.982 2.982 0.000
Be Ir Ru
1 1 2
Cartesian
0.000 0.000 0.000
4.473 4.473 4.473
1.491 1.491 1.491
2.982 2.982 2.982



9.
BeIrRu2 | Alexandria via LeMat-Bulk | GGA-PBE | relaxed; E = -7.527 eV/atom; total magnetization = 0.001 μB/atom; crystal system = orthorhombic; calculated formation energy = 0.258 eV/atom
1.0
1.375 -2.289 0.000
1.375 2.289 0.000
0.000 0.000 8.397
Be Ir Ru
1 1 2
Cartesian
0.000 0.000 0.000
0.000 0.000 4.198
1.375 0.000 1.879
1.375 0.000 6.518



10.
BeIrRu2 | Alexandria via LeMat-Bulk | GGA-PBE | relaxed; E = -7.804 eV/atom; total magnetization = 0.000 μB/atom; crystal system = orthorhombic; calculated formation energy = -0.019 eV/atom
1.0
2.724 0.000 0.000
0.000 3.641 0.000
0.000 0.000 5.277
Be Ir Ru
1 1 2
Cartesian
0.000 0.000 0.000
1.362 1.820 1.119
0.000 0.000 2.640
1.362 1.820 3.904



11.
BeIrRu4 | Alexandria via LeMat-Bulk | GGA-PBE | relaxed; E = -7.557 eV/atom; total magnetization = 0.140 μB/atom; crystal system = cubic; calculated formation energy = 0.724 eV/atom
1.0
0.000 3.542 3.542
3.542 0.000 3.542
3.542 3.542 0.000
Be Ir Ru
1 1 4
Cartesian
0.000 0.000 0.000
5.313 5.313 5.313
2.655 2.655 2.655
4.428 4.428 2.655
4.428 2.655 4.428
2.655 4.428 4.428



12.
Be4IrRu | Alexandria via LeMat-Bulk | GGA-PBE | relaxed; E = -5.899 eV/atom; total magnetization = 0.042 μB/atom; crystal system = cubic; calculated formation energy = -0.392 eV/atom
1.0
0.000 3.080 3.080
3.080 0.000 3.080
3.080 3.080 0.000
Be Ir Ru
4 1 1
Cartesian
0.771 0.771 0.771
2.309 2.309 0.771
2.309 0.771 2.309
0.771 2.309 2.309
4.620 4.620 4.620
3.080 3.080 3.080



13.
Be4IrRu | Alexandria via LeMat-Bulk | GGA-PBE | relaxed; E = -5.510 eV/atom; total magnetization = 0.000 μB/atom; crystal system = orthorhombic; calculated formation energy = -0.003 eV/atom
1.0
2.606 0.000 0.000
0.000 3.897 0.000
0.000 0.000 6.603
Be Ir Ru
4 1 1
Cartesian
0.000 0.000 1.283
0.000 0.000 5.320
1.303 1.949 1.985
1.303 1.949 4.618
0.000 1.949 0.000
1.303 0.000 3.302



14.
Be2IrRu2 | Alexandria via LeMat-Bulk | GGA-PBE | relaxed; E = -7.201 eV/atom; total magnetization = 0.000 μB/atom; crystal system = tetragonal; calculated formation energy = -0.228 eV/atom
1.0
6.301 0.000 0.000
0.000 6.301 0.000
0.000 0.000 2.892
Be Ir Ru
4 2 4
Cartesian
0.790 2.361 0.000
2.361 5.512 0.000
3.940 0.790 0.000
5.512 3.940 0.000
0.000 0.000 0.000
3.151 3.151 0.000
1.066 4.216 1.446
2.085 1.066 1.446
4.216 5.235 1.446
5.235 2.085 1.446



15.
Be17IrRu | Alexandria via LeMat-Bulk | GGA-PBE | relaxed; E = -4.505 eV/atom; total magnetization = 0.000 μB/atom; crystal system = trigonal; calculated formation energy = -0.217 eV/atom
1.0
3.605 2.082 3.515
-3.605 2.082 3.515
0.000 -4.163 3.515
Be Ir Ru
17 1 1
Cartesian
0.000 0.000 0.514
0.000 -2.105 3.346
-1.823 1.052 3.346
-1.092 -2.269 5.117
-2.511 0.188 5.117
0.000 0.000 2.696
-1.764 -1.019 6.731
1.092 -2.269 5.117
-1.419 2.080 5.117
0.000 -2.044 7.030
-1.770 1.022 7.030
1.823 1.052 3.346
1.764 -1.019 6.731
0.000 2.037 6.731
2.511 0.188 5.117
1.419 2.080 5.117
1.770 1.022 7.030
0.000 0.000 5.195
0.000 0.000 8.574



16.
BeIrRu2 | Alexandria via LeMat-Bulk | GGA-PBE | relaxed; E = -7.917 eV/atom; total magnetization = 0.000 μB/atom; crystal system = tetragonal; calculated formation energy = -0.132 eV/atom
1.0
2.760 0.000 0.000
0.000 2.760 0.000
0.000 0.000 6.570
Be Ir Ru
1 1 2
Cartesian
0.000 0.000 0.000
0.000 0.000 3.285
1.380 1.380 1.410
1.380 1.380 5.160



17.
BeIrRu2 | Alexandria via LeMat-Bulk | GGA-PBE | relaxed; E = -7.690 eV/atom; total magnetization = 0.000 μB/atom; crystal system = orthorhombic; calculated formation energy = 0.095 eV/atom
1.0
2.520 -3.907 0.000
2.520 3.907 0.000
0.000 0.000 2.697
Be Ir Ru
1 1 2
Cartesian
0.000 0.000 0.000
2.520 0.000 0.000
1.260 1.953 1.349
1.260 -1.953 1.349



18.
BeIr4Ru | Alexandria via LeMat-Bulk | GGA-PBE | relaxed; E = -7.380 eV/atom; total magnetization = 0.416 μB/atom; crystal system = cubic; calculated formation energy = 0.694 eV/atom
1.0
0.000 3.612 3.612
3.612 0.000 3.612
3.612 3.612 0.000
Be Ir Ru
1 4 1
Cartesian
0.000 0.000 0.000
4.517 2.707 2.707
2.707 4.517 2.707
2.707 2.707 4.517
4.517 4.517 4.517
1.806 1.806 1.806



19.
Be2SbIrRu | Alexandria via LeMat-Bulk | GGA-PBE | relaxed; E = -5.127 eV/atom; total magnetization = 0.000 μB/atom; formation energy (no corrections) = 816 meV/atom; crystal system = tetragonal
1.0
4.116 0.000 0.000
0.000 4.116 0.000
0.000 0.000 4.925
Be Sb Ir Ru
2 1 1 1
Cartesian
0.000 2.058 0.000
2.058 0.000 0.000
0.000 0.000 2.462
2.058 2.058 2.462
0.000 0.000 0.000



20.
ScBeIrRu2 | Alexandria via LeMat-Bulk | GGA-PBE | relaxed; E = -6.810 eV/atom; total magnetization = 0.000 μB/atom; crystal system = tetragonal; calculated formation energy = 0.684 eV/atom
1.0
4.740 0.000 0.000
0.000 4.740 0.000
0.000 0.000 4.142
Sc Be Ir Ru
1 1 1 2
Cartesian
0.000 0.000 0.000
2.370 2.370 0.000
2.370 2.370 2.071
0.000 2.370 2.071
2.370 0.000 2.071



21.
BeSiIrRu | Alexandria via LeMat-Bulk | GGA-PBE | relaxed; E = -7.503 eV/atom; total magnetization = 0.000 μB/atom; formation energy (no corrections) = -681 meV/atom; crystal system = cubic
1.0
0.000 2.875 2.875
2.875 0.000 2.875
2.875 2.875 0.000
Be Si Ir Ru
1 1 1 1
Cartesian
0.000 0.000 0.000
2.875 2.875 2.875
1.438 1.438 1.438
4.313 4.313 4.313



22.
BeSnIrRu | Alexandria via LeMat-Bulk | GGA-PBE | relaxed; E = -6.625 eV/atom; total magnetization = 0.000 μB/atom; crystal system = cubic; calculated formation energy = -0.158 eV/atom
1.0
0.000 3.062 3.062
3.062 0.000 3.062
3.062 3.062 0.000
Be Sn Ir Ru
1 1 1 1
Cartesian
0.000 0.000 0.000
3.062 3.062 3.062
1.531 1.531 1.531
4.593 4.593 4.593



23.
Th2Be4Ir3Ru | Alexandria via LeMat-Bulk | GGA-PBE | relaxed; E = -7.181 eV/atom; total magnetization = 0.000 μB/atom; crystal system = tetragonal; calculated formation energy = -0.620 eV/atom
1.0
4.109 0.000 0.000
0.000 4.109 0.000
0.000 0.000 9.277
Th Be Ir Ru
2 4 3 1
Cartesian
0.000 2.055 2.215
2.055 0.000 7.061
0.000 0.000 4.638
0.000 2.055 8.177
2.055 0.000 1.100
2.055 2.055 4.638
0.000 0.000 0.000
0.000 2.055 5.778
2.055 0.000 3.498
2.055 2.055 0.000



24.
Be2TlIrRu | Alexandria via LeMat-Bulk | GGA-PBE | relaxed; E = -3.705 eV/atom; total magnetization = 0.593 μB/atom; crystal system = tetragonal; calculated formation energy = 1.887 eV/atom
1.0
4.299 0.000 0.000
0.000 4.299 0.000
0.000 0.000 5.140
Be Tl Ir Ru
2 1 1 1
Cartesian
0.000 2.149 0.000
2.149 0.000 0.000
0.000 0.000 0.000
0.000 0.000 2.570
2.149 2.149 2.570



25.
BeIrRuW2 | Alexandria via LeMat-Bulk | GGA-PBE | relaxed; E = -9.036 eV/atom; total magnetization = 0.000 μB/atom; crystal system = tetragonal; calculated formation energy = 0.518 eV/atom
1.0
4.200 0.000 0.000
0.000 4.200 0.000
0.000 0.000 4.025
Be Ir Ru W
1 1 1 2
Cartesian
0.000 0.000 0.000
2.100 2.100 2.012
0.000 0.000 2.012
0.000 2.100 0.000
2.100 0.000 0.000



26.
BeIrRuW | Alexandria via LeMat-Bulk | GGA-PBE | relaxed; E = -8.829 eV/atom; total magnetization = 0.000 μB/atom; crystal system = cubic; calculated formation energy = -0.125 eV/atom
1.0
0.000 3.016 3.016
3.016 0.000 3.016
3.016 3.016 0.000
Be Ir Ru W
1 1 1 1
Cartesian
0.000 0.000 0.000
4.524 4.524 4.524
1.508 1.508 1.508
3.016 3.016 3.016



27.
BeZn2IrRu | Alexandria via LeMat-Bulk | GGA-PBE | relaxed; E = -4.363 eV/atom; total magnetization = 0.222 μB/atom; crystal system = tetragonal; calculated formation energy = 0.520 eV/atom
1.0
4.177 0.000 0.000
0.000 4.177 0.000
0.000 0.000 4.036
Be Zn Ir Ru
1 2 1 1
Cartesian
0.000 0.000 0.000
0.000 2.088 0.000
2.088 0.000 0.000
0.000 0.000 2.018
2.088 2.088 2.018



28.
BeIr2S | Alexandria via LeMat-Bulk | GGA-PBE | relaxed; E = -6.139 eV/atom; total magnetization = 0.000 μB/atom; formation energy (no corrections) = 255 meV/atom; crystal system = tetragonal
1.0
-2.532 2.532 5.129
2.532 -2.532 5.129
2.532 2.532 -5.129
Be Ir S
2 4 2
Cartesian
0.000 0.000 0.000
0.000 2.532 2.565
3.799 1.212 -1.282
1.212 1.266 1.282
-1.266 1.320 3.847
1.320 1.266 6.412
2.532 0.000 2.565
0.000 0.000 5.129